18
Lattice="-4.420 4.420 7.686 4.420 -4.420 7.686 4.420 4.420 -7.686" Properties=species:S:1:pos:R:3 comment="Tl3NiBr5 (PBE, relaxed)" e_form_raw_ev_per_fu=-5.7 n_ef_per_ev_atom=0.635 pbc="T T T"
Tl 5.840 1.419 0.000
Tl 0.000 0.000 3.843
Tl 1.419 3.001 0.000
Tl 3.001 1.419 7.686
Tl 0.000 0.000 11.530
Tl -1.419 3.001 7.686
Ni 4.420 0.000 3.843
Ni 0.000 4.420 3.843
Br 0.000 0.000 0.000
Br 5.714 -1.294 2.323
Br 3.126 -1.294 5.363
Br 3.126 1.294 2.323
Br 5.714 1.294 5.363
Br 0.000 0.000 7.686
Br -1.294 3.126 2.323
Br 1.294 3.126 5.363
Br 1.294 5.714 2.323
Br -1.294 5.714 5.363